Record 1
DFT (PBE) results for crystalline Pr16Ho6Er7 at its relaxed geometry.

Geometry as POSCAR:
```
Pr16Ho6Er7
1.0
-7.096 -5.960 -6.551
2.649 -10.605 -3.050
-5.744 -8.761 4.363
Pr Ho Er
16 6 7
direct
0.875 0.875 0.375
0.875 0.875 0.875
0.875 0.375 0.875
0.375 0.875 0.875
0.125 0.125 0.125
0.125 0.125 0.625
0.125 0.625 0.125
0.625 0.125 0.125
0.648 0.648 0.056
0.648 0.648 0.648
0.648 0.056 0.648
0.056 0.648 0.648
0.352 0.352 0.352
0.352 0.352 0.944
0.352 0.944 0.352
0.944 0.352 0.352
0.263 0.737 0.263
0.737 0.263 0.737
0.737 0.263 0.263
0.263 0.737 0.737
0.737 0.737 0.263
0.263 0.263 0.737
0.000 0.000 0.000
0.500 0.000 0.500
0.000 0.500 0.000
0.000 0.500 0.500
0.500 0.000 0.000
0.000 0.000 0.500
0.500 0.500 0.000
```

As for the energy of formation from the pure elements: 5.81 eV/f.u. The calculation puts the volume at 35.635 Å³ per atom. The calculation puts the density of states at the Fermi level at 39.0 states/eV/f.u. The total magnetization is 0.0 μB/cell. The space group is Fm-3m, No. 225.

Record 2
DFT (PBE) results for crystalline CeCo4Au at its relaxed geometry.

Geometry as POSCAR:
```
CeCo4Au
1.0
-0.968 -1.633 4.616
-0.423 -4.895 0.878
3.534 -2.384 2.596
Co Au Ce
4 1 1
direct
0.625 0.625 0.124
0.625 0.124 0.625
0.625 0.625 0.625
0.124 0.625 0.625
0.000 0.000 0.000
0.250 0.250 0.250
```

As for the energy of formation from the pure elements: -0.68 eV/f.u. The calculation puts the volume at 14.649 Å³ per atom. The calculation puts the density of states at the Fermi level at 10.7 states/eV/f.u. The total magnetization is 4.7 μB/cell. The space group is F-43m, No. 216.

Record 3
DFT (PBE) results for crystalline Y2HgRh at its relaxed geometry.

Geometry as POSCAR:
```
Y2HgRh
1.0
-3.300 1.838 -1.424
-0.954 -3.327 -2.083
-3.281 -2.112 4.876
Hg Rh Y
1 1 2
direct
0.000 0.000 0.450
0.500 0.500 0.844
0.000 0.000 0.922
0.500 0.500 0.284
```

As for the energy of formation from the pure elements: -1.68 eV/f.u. The calculation puts the volume at 25.465 Å³ per atom. The calculation puts the density of states at the Fermi level at 2.1 states/eV/f.u. The total magnetization is 0.0 μB/cell. The space group is P4mm, No. 99.

Record 4
DFT (PBE) results for crystalline LiTaPd4 at its relaxed geometry.

Geometry as POSCAR:
```
LiTaPd4
1.0
3.325 -0.423 -0.060
0.422 3.325 -0.060
0.175 0.135 8.386
Li Ta Pd
1 1 4
direct
0.500 0.500 0.500
0.000 0.000 0.000
0.500 0.500 0.162
0.500 0.500 0.838
0.001 0.001 0.666
0.999 0.999 0.334
```

As for the energy of formation from the pure elements: -1.96 eV/f.u. The polymorph energy (0 for the lowest one) is 0.042 eV per atom. The calculation puts the volume at 15.713 Å³ per atom. The calculation puts the density of states at the Fermi level at 2.2 states/eV/f.u. The total magnetization is 0.0 μB/cell. The space group is P4/mmm, No. 123.